# 1
Mg2ScCu3 | PBE | relaxed

a b c (Å): 3.186 3.186 9.639
angles (deg): 90.00 90.00 90.00
Atoms (fractional coordinates):
Cu (0.000, 0.000, 0.671)
Mg (0.500, 0.500, 0.835)
Cu (0.000, 0.000, 0.329)
Sc (0.500, 0.500, 0.500)
Mg (0.500, 0.500, 0.165)
Cu (0.000, 0.000, 0.000)

Theoretical density: 4.82 Mg/m³
Crystal system: tetragonal
Formation energy: -0.16 eV/atom
Total magnetization: 0.00 μB per cell
DOS at the Fermi energy: 2.98 states/eV per cell

# 2
Cd2FePtN | PBE | relaxed

a b c (Å): 4.753 3.488 4.753
angles (deg): 90.00 90.00 90.00
Last column: magnetic moment on the atom in μB.
Atoms (fractional coordinates):
Cd (0.000, 0.000, 0.500)  -0.02
Fe (0.000, 0.500, 0.000)  1.15
N (0.000, 0.000, 0.000)  -0.03
Pt (0.500, 0.500, 0.500)  0.04
Cd (0.500, 0.000, 0.000)  -0.01

Theoretical density: 10.32 Mg/m³
Raw formation energy: 0.2159 eV per atom
Crystal system: tetragonal
Total magnetization: 1.12 μB per cell
DOS at the Fermi energy: 3.21 states/eV per cell

# 3
SrSbSe2N | PBE | relaxed

a b c (Å): 5.796 5.796 4.676
angles (deg): 90.00 90.00 90.00
Last column: magnetic moment on the atom in μB.
Atoms (fractional coordinates):
Sb (0.500, 0.500, 0.500)  -0.07
Se (0.500, 0.000, 0.000)  0.09
Sr (0.000, 0.000, 0.000)  0.04
N (0.000, 0.000, 0.500)  1.41
Se (0.000, 0.500, 0.000)  0.09

Theoretical density: 4.03 Mg/m³
Raw formation energy: 0.7412 eV per atom
Crystal system: tetragonal
Total magnetization: 2.29 μB per cell
DOS at the Fermi energy: 3.76 states/eV per cell